Below is a relaxed structure of KCaCd2, with properties calculated at the PBE-GGA level.

```
KCaCd2
1.0
3.9081 -0.0170 0.0000
0.0171 3.9081 0.0000
0.0000 0.0000 8.7024
Ca Cd K
1 2 1
Direct
0.5000 0.5000 0.7500
0.0000 0.0000 0.9562
0.0000 0.0000 0.5438
0.5000 0.5000 0.2500
```

Calculated values
N(E_F) ... 2.80 states/eV/f.u.
ΔH_f (0 K) ... -144 meV/atom
Crystal system ... tetragonal
Total magnetization ... 0.0 μB per cell
Energy ... -1.376 eV per atom